Sc2Ga3Cu after structural relaxation. Source: the Alexandria database, functional PBE-GGA.

Output
V: 17.392 A^3/atom
DFT formation energy: -549.8 meV per atom
crystal system: orthorhombic

CIF file:
```
data_Sc2Ga3Cu
_chemical_formula_sum 'Sc2 Ga3 Cu1'
_cell_length_a 3.2629
_cell_length_b 4.2975
_cell_length_c 7.4417
_cell_angle_alpha 90.00
_cell_angle_beta 90.00
_cell_angle_gamma 90.00
_space_group_name_H-M_alt 'P 1'
_space_group_IT_number 1
loop_
_space_group_symop_operation_xyz
'x,y,z'
loop_
_atom_site_label
_atom_site_type_symbol
_atom_site_fract_x
_atom_site_fract_y
_atom_site_fract_z
Sc1 Sc 0.0000 0.0000 0.0000
Sc2 Sc 0.0000 0.5000 0.4949
Ga1 Ga 0.5000 0.0000 0.6526
Ga2 Ga 0.5000 0.5000 0.1735
Ga3 Ga 0.5000 0.5000 0.8338
Cu1 Cu 0.5000 0.0000 0.3266
```